6
Lattice="2.9075 0.0000 0.0000 -1.4538 5.2485 -0.0616 0.0000 -1.8441 6.3859" Properties=species:S:1:pos:R:3 comment="PBEsol Li2Al, optimized geometry" formation_enthalpy_0k_ev_per_fu=-0.358 m_tot_mub_per_atom=0.0000 n_ef_per_ev_atom=0.301 spacegroup="C2/m, No. 12" pbc="T T T"
Al 0.0000 3.8200 4.3880
Al 1.4538 -0.4156 1.9363
Li 1.4538 2.0581 6.0354
Li 1.4538 2.5597 2.3944
Li 0.0000 0.8446 3.9300
Li 0.0000 1.3462 0.2889

***

5
Lattice="-1.8173 0.3036 -4.6383 4.5059 -3.9813 -2.0260 -3.8233 -4.9253 1.1756" Properties=species:S:1:pos:R:3 comment="PBEsol K2SrTaSi, optimized geometry" formation_energy_uncorrected_ev_per_atom=1.07 m_tot_mub_per_atom=0.5998 n_ef_per_ev_atom=0.967 spacegroup="P4/mmm, No. 123" pbc="T T T"
Sr -0.5674 -4.3015 -2.7444
K 2.2529 -1.9906 -1.0130
K -1.9117 -2.4627 0.5878
Si -0.9087 0.1518 -2.3192
Ta 0.0000 0.0000 0.0000

***

4
Lattice="-1.0459 -1.9870 1.7290 -0.0469 -2.7118 -0.8221 5.8747 -2.4947 3.0095" Properties=species:S:1:pos:R:3 comment="PBEsol RbCO2, optimized geometry" formation_energy_uncorrected_ev_per_atom=1.05 m_tot_mub_per_atom=0.0001 n_ef_per_ev_atom=0.504 spacegroup="R-3m, No. 166" pbc="T T T"
O 1.2028 -5.0404 1.9030
O 3.5791 -2.1531 2.0134
C 2.3910 -3.5968 1.9582
Rb 0.0000 0.0000 0.0000